Density functional theory data (PBEsol) for a relaxed La2InCu crystal.

Computed properties:
As for the raw total energy: -54.9 eV per cell. The calculated density is 6.7 Mg/m³. As for the crystal system: trigonal.

a b c (Å): 3.8043 3.8043 27.1373
angles (deg): 90.00 90.00 120.00
With the nearest neighbours (Å) after each atom.
Sites, in units of the cell vectors:
La: 0.0000 0.0000 0.2402  3 Cu 2.97
La: 0.0000 0.0000 0.7598  3 Cu 2.97
La: 0.3333 0.6667 0.4265  3 Cu 2.97
La: 0.3333 0.6667 0.9068  3 Cu 2.97
La: 0.6667 0.3333 0.0932  3 Cu 2.97
La: 0.6667 0.3333 0.5735  3 Cu 2.97
In: 0.0000 0.0000 0.0000  6 La 3.35
In: 0.3333 0.6667 0.6667  6 La 3.35
In: 0.6667 0.3333 0.3333  6 La 3.35
Cu: 0.0000 0.0000 0.5000  6 La 2.97
Cu: 0.3333 0.6667 0.1667  6 La 2.97
Cu: 0.6667 0.3333 0.8333  6 La 2.97